Crystalline NaCa3Pt at its relaxed geometry, computed with PBE-GGA.

Results
ΔE_f = -0.252 eV per atom

```
NaCa3Pt
1.0
4.457 -5.896 0.000
4.457 5.896 0.000
0.000 0.000 6.483
Na Ca Pt
2 6 2
Cartesian
4.457 0.700 1.621 Na
4.457 -0.700 4.862 Na
2.768 -2.558 1.621 Ca
6.146 -2.558 1.621 Ca
2.768 2.558 4.862 Ca
6.146 2.558 4.862 Ca
0.000 0.000 0.000 Ca
0.000 0.000 3.241 Ca
4.457 3.513 1.621 Pt
4.457 -3.513 4.862 Pt
```


Crystalline Ca2PdSN at its relaxed geometry, computed with PBE-GGA.

Results
formation energy without anion corrections = -1.006 eV per atom

```
Ca2PdSN
1.0
-2.784 0.502 4.085
2.689 -1.889 2.065
2.255 4.312 1.007
Ca S Pd N
2 1 1 1
Cartesian
1.128 2.156 0.503 Ca
-1.392 0.251 2.043 Ca
1.080 1.463 3.579 S
1.345 -0.944 1.032 Pd
0.000 0.000 0.000 N
```


Crystalline AcAgBi2 at its relaxed geometry, computed with PBE-GGA.

Results
ΔE_f = -0.431 eV per atom

```
AcAgBi2
1.0
-2.886 -1.493 3.540
3.124 -3.846 0.924
2.546 2.856 3.280
Ac Bi Ag
1 2 1
Cartesian
1.392 -1.242 3.872 Ac
1.273 1.428 1.640 Bi
1.562 -1.923 0.462 Bi
-1.443 -0.747 1.770 Ag
```


Crystalline Sm15MgSc4 at its relaxed geometry, computed with PBE-GGA.

Results
ΔE_f = 0.029 eV per atom

```
Sm15MgSc4
1.0
-1.540 2.908 -3.753
-2.942 -3.681 -1.645
-18.674 8.543 14.283
Sm Mg Sc
15 1 4
Cartesian
-2.241 -0.386 -2.699 Sm
-5.969 1.319 0.152 Sm
-9.709 3.030 3.013 Sm
-13.448 4.740 5.872 Sm
-17.188 6.452 8.733 Sm
-2.657 2.317 -0.434 Sm
-6.377 4.019 2.412 Sm
-10.107 5.726 5.265 Sm
-13.837 7.432 8.118 Sm
-17.558 9.134 10.964 Sm
-3.358 -0.977 0.620 Sm
-7.078 0.725 3.466 Sm
-10.808 2.431 6.319 Sm
-14.538 4.138 9.172 Sm
-18.259 5.840 12.018 Sm
0.000 0.000 0.000 Mg
-3.733 1.708 2.855 Sc
-7.470 3.417 5.714 Sc
-11.204 5.126 8.570 Sc
-14.941 6.835 11.428 Sc
```


Crystalline Pm4Pd2S at its relaxed geometry, computed with PBE-GGA.

Results
formation energy without anion corrections = -0.764 eV per atom

```
Pm4Pd2S
1.0
-3.653 2.760 -2.792
-3.918 -2.799 2.360
3.468 4.805 5.363
S Pd Pm
1 2 4
Cartesian
0.000 0.000 0.000 S
-3.852 0.983 0.862 Pd
-0.252 3.784 4.070 Pd
-3.977 2.853 2.873 Pm
-0.127 1.914 2.058 Pm
-1.959 -1.399 1.180 Pm
-1.827 1.380 -1.396 Pm
```


Crystalline ZnNiBr2 at its relaxed geometry, computed with PBE-GGA.

Results
formation energy without anion corrections = 0.025 eV per atom

```
ZnNiBr2
1.0
-5.002 3.114 1.560
-4.329 -2.916 -3.147
4.022 -0.108 4.579
Br Ni Zn
2 1 1
Cartesian
-0.741 0.016 -0.126 Br
-3.925 0.083 -0.668 Br
-2.487 -1.463 0.319 Ni
-2.823 1.552 2.673 Zn
```


| no. | calculated volume (Å³/f.u.) | total DFT energy (no corrections) (eV per atom) |
| --- | --- | --- |
| 1 | 170.39 | -2.92 |
| 2 | 95.83 | -5.34 |
| 3 | 122.05 | -4.11 |
| 4 | 623.23 | -4.86 |
| 5 | 202.33 | -5.55 |
| 6 | 109.84 | -2.58 |